The following is a PBE calculation of an optimized crystal structure of CaLa3Os, from Alexandria via LeMat-Bulk.

a = 6.2073 Å, b = 6.2073 Å, c = 10.6291 Å
α = 73.02°, β = 73.02°, γ = 90.00°
With the nearest neighbours (Å) after each atom.
Fractional coordinates of all 10 atoms:
Ca  0.5464  0.0464  0.9071  2 Os 3.23, 2 La 3.60
Ca  0.9536  0.4536  0.0929  2 Os 3.23, 2 La 3.60
Os  0.0000  0.0000  0.0000  4 La 2.81
Os  0.2500  0.7500  0.5000  8 La 2.94-3.16
La  0.6288  0.8789  0.2422  2 Os 2.81-2.94, 2 La 3.10-3.11
La  0.1211  0.3712  0.7578  2 Os 2.81-2.94, 2 La 3.10-3.11
La  0.1211  0.8709  0.7578  2 Os 2.81-2.94, 2 La 3.10-3.11
La  0.1291  0.8789  0.2422  2 Os 2.81-2.94, 2 La 3.10-3.11
La  0.2795  0.2795  0.4410  2 Os 3.16, 2 La 3.44
La  0.7205  0.7205  0.5590  2 Os 3.16, 2 La 3.44

Values from the calculation:
Energy relative to the lowest polymorph listed for this composition in meV per atom: 333
Calculated volume in Å³/atom: 37.30
Size of the total moment in μB per formula unit: 0.0

***

The following is a PBE calculation of an optimized crystal structure of CaLa3Os, from Alexandria via LeMat-Bulk.

a = 5.4097 Å, b = 5.4097 Å, c = 5.4097 Å
α = 90.00°, β = 90.00°, γ = 90.00°
With the nearest neighbours (Å) after each atom.
Fractional coordinates of all 5 atoms:
Ca  0.0000  0.0000  0.0000  6 La 2.70
Os  0.5000  0.5000  0.5000  12 La 3.83
La  0.0000  0.5000  0.0000  2 Ca 2.70
La  0.0000  0.0000  0.5000  2 Ca 2.70
La  0.5000  0.0000  0.0000  2 Ca 2.70

Values from the calculation:
Energy relative to the lowest polymorph listed for this composition in meV per atom: 1786
Calculated volume in Å³/atom: 31.66
Size of the total moment in μB per formula unit: 0.0

***

The following is a PBE calculation of an optimized crystal structure of CaLa3Os, from Alexandria via LeMat-Bulk.

a = 5.6186 Å, b = 5.6186 Å, c = 5.6186 Å
α = 83.28°, β = 83.28°, γ = 83.28°
With the nearest neighbours (Å) after each atom.
Fractional coordinates of all 5 atoms:
Ca  0.4700  0.4700  0.4700  1 Os 2.78
Os  0.2125  0.2125  0.2125  3 La 2.65, 1 Ca 2.78
La  0.9011  0.3903  0.9011  1 Os 2.65
La  0.3903  0.9011  0.9011  1 Os 2.65
La  0.9011  0.9011  0.3903  1 Os 2.65

Values from the calculation:
Energy relative to the lowest polymorph listed for this composition in meV per atom: 295
Calculated volume in Å³/atom: 34.80
Size of the total moment in μB per formula unit: 0.0

***

The following is a PBE calculation of an optimized crystal structure of CaLa3Os, from Alexandria via LeMat-Bulk.

a = 4.7044 Å, b = 4.7044 Å, c = 18.5870 Å
α = 90.00°, β = 90.00°, γ = 120.00°
With the nearest neighbours (Å) after each atom.
Fractional coordinates of all 10 atoms:
Ca  0.3333  0.6667  0.7500  3 La 2.72
Ca  0.6667  0.3333  0.2500  3 La 2.72
Os  0.0000  0.0000  0.0000  6 La 2.98
Os  0.0000  0.0000  0.5000  6 La 2.98
La  0.0000  0.0000  0.2500  3 Ca 2.72
La  0.0000  0.0000  0.7500  3 Ca 2.72
La  0.3333  0.6667  0.9337  3 Os 2.98
La  0.3333  0.6667  0.5663  3 Os 2.98
La  0.6667  0.3333  0.4337  3 Os 2.98
La  0.6667  0.3333  0.0663  3 Os 2.98

Values from the calculation:
Energy relative to the lowest polymorph listed for this composition in meV per atom: 979
Calculated volume in Å³/atom: 35.62
Size of the total moment in μB per formula unit: 1.5

***

The following is a PBE calculation of an optimized crystal structure of CaLa2Os, from Alexandria via LeMat-Bulk.

a = 3.5179 Å, b = 3.5179 Å, c = 9.8345 Å
α = 90.00°, β = 90.00°, γ = 90.03°
With the nearest neighbours (Å) after each atom.
Fractional coordinates of all 4 atoms:
Ca  0.5000  0.5000  0.6756  4 Os 3.09, 1 La 3.40
Os  0.0000  0.0000  0.4898  4 La 2.94, 4 Ca 3.09
La  0.0000  0.0000  0.0048  4 La 3.52
La  0.5000  0.5000  0.3299  4 Os 2.94

Values from the calculation:
Energy relative to the lowest polymorph listed for this composition in meV per atom: 224
Calculated volume in Å³/atom: 30.43
Size of the total moment in μB per formula unit: 0.0

***

The following is a PBE calculation of an optimized crystal structure of CaLa3Os, from Alexandria via LeMat-Bulk.

a = 7.6852 Å, b = 7.6858 Å, c = 7.7258 Å
α = 71.61°, β = 71.62°, γ = 111.99°
With the nearest neighbours (Å) after each atom.
Fractional coordinates of all 10 atoms:
Ca  0.2369  0.3469  0.1917  1 Os 2.96
Ca  0.6933  0.8903  0.6916  1 Os 2.96
Os  0.7900  0.6737  0.0065  3 La 2.65-2.78, 1 Ca 2.96
Os  0.0201  0.4438  0.5064  3 La 2.65-2.78, 1 Ca 2.96
La  0.1464  0.7430  0.6994  1 Os 2.72
La  0.0893  0.8001  0.1993  1 Os 2.73
La  0.6424  0.3413  0.7895  1 Os 2.65
La  0.6877  0.2961  0.2896  1 Os 2.65
La  0.5355  0.7389  0.2947  1 Os 2.78
La  0.0851  0.1893  0.7948  1 Os 2.78

Values from the calculation:
Energy relative to the lowest polymorph listed for this composition in meV per atom: 0
Calculated volume in Å³/atom: 34.94
Size of the total moment in μB per formula unit: 0.0

***

The following is a PBE calculation of an optimized crystal structure of CaLaOs2, from Alexandria via LeMat-Bulk.

a = 4.8397 Å, b = 4.8397 Å, c = 4.8397 Å
α = 60.00°, β = 60.00°, γ = 60.00°
With the nearest neighbours (Å) after each atom.
Fractional coordinates of all 4 atoms:
Ca  0.5000  0.5000  0.5000  4 Os 2.96, 4 La 2.96
Os  0.0000  0.0000  0.0000  4 La 2.96, 4 Os 2.96
Os  0.2500  0.2500  0.2500  4 Os 2.96, 4 Ca 2.96
La  0.7500  0.7500  0.7500  4 Os 2.96, 4 Ca 2.96

Values from the calculation:
Energy relative to the lowest polymorph listed for this composition in meV per atom: 319
Calculated volume in Å³/atom: 20.04
Size of the total moment in μB per formula unit: 0.0

***

The following is a PBE calculation of an optimized crystal structure of CaLaOs2, from Alexandria via LeMat-Bulk.

a = 3.0164 Å, b = 3.8144 Å, c = 8.5708 Å
α = 90.00°, β = 90.00°, γ = 90.00°
With the nearest neighbours (Å) after each atom.
Fractional coordinates of all 4 atoms:
Ca  0.0000  0.0000  0.4251  2 Ca 3.02, 5 Os 3.03-3.24
Os  0.0000  0.0000  0.0715  4 Os 2.59
Os  0.5000  0.5000  0.1754  4 Os 2.59
La  0.5000  0.5000  0.8280  5 Os 2.98-3.20, 2 La 3.02

Values from the calculation:
Energy relative to the lowest polymorph listed for this composition in meV per atom: 0
Calculated volume in Å³/atom: 24.65
Size of the total moment in μB per formula unit: 0.0

***

The following is a PBE calculation of an optimized crystal structure of CaLa2Os, from Alexandria via LeMat-Bulk.

a = 9.0059 Å, b = 9.0059 Å, c = 7.1471 Å
α = 50.95°, β = 50.95°, γ = 90.00°
With the nearest neighbours (Å) after each atom.
Fractional coordinates of all 8 atoms:
Ca  0.5000  0.5000  0.0000  2 Os 3.24, 4 La 3.60
Ca  0.2500  0.7500  0.5000  2 Os 3.24, 4 La 3.60
Os  0.0000  0.0000  0.0000  4 La 2.77
Os  0.7500  0.2500  0.5000  4 La 2.77
La  0.7191  0.1250  0.2500  2 Os 2.77
La  0.0309  0.6250  0.2500  2 Os 2.77
La  0.3750  0.2809  0.7500  2 Os 2.77
La  0.8750  0.9691  0.7500  2 Os 2.77

Values from the calculation:
Energy relative to the lowest polymorph listed for this composition in meV per atom: 203
Calculated volume in Å³/atom: 32.90
Size of the total moment in μB per formula unit: 0.0

***

The following is a PBE calculation of an optimized crystal structure of CaLa3Os, from Alexandria via LeMat-Bulk.

a = 29.9496 Å, b = 13.3874 Å, c = 13.3874 Å
α = 162.84°, β = 164.65°, γ = 15.35°
With the nearest neighbours (Å) after each atom.
Fractional coordinates of all 10 atoms:
Ca  0.7675  0.0478  0.9522  2 Os 3.27, 2 La 3.50-3.52
Ca  0.2325  0.9522  0.0478  2 Os 3.27, 2 La 3.50-3.52
Os  0.6195  0.0124  0.9876  5 La 2.81-2.93
Os  0.3805  0.9876  0.0124  5 La 2.81-2.93
La  0.3682  0.5762  0.4238  2 Os 2.82
La  0.6318  0.4238  0.5762  2 Os 2.82
La  0.9392  0.4825  0.5175  1 Os 2.93
La  0.0608  0.5175  0.4825  1 Os 2.93
La  0.7068  0.4873  0.5127  2 Os 2.81
La  0.2932  0.5127  0.4873  2 Os 2.81

Values from the calculation:
Energy relative to the lowest polymorph listed for this composition in meV per atom: 60
Calculated volume in Å³/atom: 35.02
Size of the total moment in μB per formula unit: 0.0

***

The following is a PBE calculation of an optimized crystal structure of CaLa3Os, from Alexandria via LeMat-Bulk.

a = 4.3916 Å, b = 4.3916 Å, c = 9.9699 Å
α = 90.00°, β = 90.00°, γ = 90.00°
With the nearest neighbours (Å) after each atom.
Fractional coordinates of all 5 atoms:
Ca  0.0000  0.0000  0.4106  5 La 3.88-3.91
Os  0.5000  0.5000  0.8811  8 La 3.00-3.21
La  0.0000  0.0000  0.8001  4 Os 3.21
La  0.5000  0.0000  0.0860  2 Os 3.00, 4 La 3.11
La  0.0000  0.5000  0.0860  2 Os 3.00, 4 La 3.11

Values from the calculation:
Energy relative to the lowest polymorph listed for this composition in meV per atom: 460
Calculated volume in Å³/atom: 38.46
Size of the total moment in μB per formula unit: 0.0

***

The following is a PBE calculation of an optimized crystal structure of CaLa3Os, from Alexandria via LeMat-Bulk.

a = 6.9990 Å, b = 7.9013 Å, c = 7.1254 Å
α = 86.74°, β = 100.40°, γ = 110.43°
With the nearest neighbours (Å) after each atom.
Fractional coordinates of all 10 atoms:
Ca  0.7472  0.3800  0.5143  1 Os 2.92
Ca  0.2527  0.0200  0.2857  1 Os 2.92
Os  0.4904  0.5458  0.6609  5 La 2.68-2.91, 1 Ca 2.92
Os  0.5095  0.8542  0.1391  5 La 2.68-2.91, 1 Ca 2.92
La  0.7431  0.6568  0.0172  2 Os 2.81-2.88
La  0.2463  0.2332  0.7877  1 Os 2.68
La  0.2568  0.7432  0.7829  2 Os 2.81-2.88
La  0.2645  0.5158  0.2943  2 Os 2.77-2.91
La  0.7539  0.1667  0.0123  1 Os 2.68
La  0.7354  0.8842  0.5057  2 Os 2.77-2.91

Values from the calculation:
Energy relative to the lowest polymorph listed for this composition in meV per atom: 8
Calculated volume in Å³/atom: 36.32
Size of the total moment in μB per formula unit: 0.0

***

The following is a PBE calculation of an optimized crystal structure of CaLa3Os, from Alexandria via LeMat-Bulk.

a = 9.8557 Å, b = 9.8557 Å, c = 5.1590 Å
α = 90.00°, β = 90.00°, γ = 120.28°
With the nearest neighbours (Å) after each atom.
Fractional coordinates of all 10 atoms:
Ca  0.1979  0.8021  0.2500  4 La 3.62-4.02
Ca  0.8021  0.1979  0.7500  4 La 3.62-4.02
Os  0.5144  0.4856  0.2500  2 Os 2.63, 2 La 2.66
Os  0.4856  0.5144  0.7500  2 Os 2.63, 2 La 2.66
La  0.2128  0.4024  0.2500  1 Os 2.66
La  0.5976  0.7872  0.2500  1 Os 2.66
La  0.4024  0.2128  0.7500  1 Os 2.66
La  0.7872  0.5976  0.7500  1 Os 2.66
La  0.0000  0.0000  0.0000  2 La 2.58
La  0.0000  0.0000  0.5000  2 La 2.58

Values from the calculation:
Energy relative to the lowest polymorph listed for this composition in meV per atom: 611
Calculated volume in Å³/atom: 43.27
Size of the total moment in μB per formula unit: 0.0